Record 1
DFT (GGA-PBE) results for a relaxed structure of CsK3Os.

Cell and atoms, written as POSCAR:
```
CsK3Os
1.0
7.568 0.000 0.000
0.000 7.568 0.000
0.000 0.000 7.568
Cs K Os
1 3 1
Cartesian
0.000 0.000 0.000
0.000 0.000 3.784
0.000 3.784 0.000
3.784 0.000 0.000
3.784 3.784 3.784
```

- DOS(E_F) (states/eV/cell) = 11.24
- DFT formation energy (eV per formula unit) = 9.1
- space-group type = Pm-3m (221)


Record 2
DFT (GGA-PBE) results for a relaxed structure of CsKOs3.

Cell and atoms, written as POSCAR:
```
CsKOs3
1.0
5.125 0.000 0.000
0.000 5.125 0.000
0.000 0.000 5.125
Cs K Os
1 1 3
Cartesian
0.000 0.000 0.000
2.563 2.563 2.563
0.000 2.563 2.563
2.563 0.000 2.563
2.563 2.563 0.000
```

- DOS(E_F) (states/eV/cell) = 7.05
- DFT formation energy (eV per formula unit) = 19.2
- space-group type = Pm-3m (221)


Record 3
DFT (GGA-PBE) results for a relaxed structure of CsKOs3.

Cell and atoms, written as POSCAR:
```
CsKOs3
1.0
5.164 0.000 0.000
0.000 5.164 0.000
0.000 0.000 5.164
Cs K Os
1 1 3
Cartesian
0.000 0.000 0.000
2.582 2.582 2.582
0.000 0.000 2.582
0.000 2.582 0.000
2.582 0.000 0.000
```

- DOS(E_F) (states/eV/cell) = 4.59
- DFT formation energy (eV per formula unit) = 18.1
- space-group type = Pm-3m (221)


Computed offset from the most stable computed form (kJ/mol of formula units) in order:
368 111 0